# SmY2Ho4

A relaxed SmY2Ho4 crystal (PBE, Alexandria).

Summary:
V, Å³ per cell: 223.3
Energy above the lowest structure with this stoichiometry, meV/atom: 0
Formation energy from the elements, kJ/mol of formula units: 28
E, Ry per atom: -0.3745
Magnetic moment, μB/f.u.: 0.0

Lattice parameters (Å, degrees): 8.5271 8.5271 8.7413 118.83 118.83 23.81
With the nearest neighbours (Å) after each atom.
Positions (direct):
1 Sm 0.0000 0.0000 0.0000  2 Y 3.34, 2 Sm 3.52, 4 Ho 3.57
2 Y 0.0705 0.0705 0.4302  1 Y 3.14, 3 Ho 3.31-3.50, 1 Sm 3.34
3 Y 0.9295 0.9295 0.5698  1 Y 3.14, 3 Ho 3.31-3.50, 1 Sm 3.34
4 Ho 0.2949 0.2949 0.7071  3 Y 3.31-3.50, 7 Ho 3.52-3.69, 2 Sm 3.57
5 Ho 0.3572 0.3572 0.1634  7 Ho 3.52-3.74, 4 Y 3.60-3.61, 2 Sm 3.76
6 Ho 0.6428 0.6428 0.8366  7 Ho 3.52-3.74, 4 Y 3.60-3.61, 2 Sm 3.76
7 Ho 0.7051 0.7051 0.2929  3 Y 3.31-3.50, 7 Ho 3.52-3.69, 2 Sm 3.57

# Sc2TlPb

A relaxed Sc2TlPb crystal (PBE, Alexandria).

Summary:
V, Å³ per cell: 96.3
Energy above the lowest structure with this stoichiometry, meV/atom: 42
Formation energy from the elements, kJ/mol of formula units: -107
E, Ry per atom: -0.3647
Magnetic moment, μB/f.u.: 1.1

Lattice parameters (Å, degrees): 3.3346 3.3346 8.6586 90.00 90.00 90.00
With the nearest neighbours (Å) after each atom.
Positions (direct):
1 Sc 0.0000 0.0000 0.2436  4 Tl 3.16, 4 Pb 3.24, 4 Sc 3.33
2 Sc 0.0000 0.0000 0.7564  4 Tl 3.16, 4 Pb 3.24, 4 Sc 3.33
3 Tl 0.5000 0.5000 0.0000  8 Sc 3.16, 4 Tl 3.33
4 Pb 0.5000 0.5000 0.5000  8 Sc 3.24, 4 Pb 3.33

# Ca3S2O

A relaxed Ca3S2O crystal (PBE, Alexandria).

Summary:
V, Å³ per cell: 121.4
E, Ry per atom: -0.4040
Formation energy without anion corrections, eV per atom: -2.29
Magnetic moment, μB/f.u.: 0.0

Lattice parameters (Å, degrees): 6.6974 6.6974 6.6974 147.26 131.06 60.14
With the nearest neighbours (Å) after each atom.
Positions (direct):
1 Ca 0.0000 0.0000 0.0000  4 S 2.73, 2 O 2.77
2 Ca 0.3561 0.3561 0.0000  2 O 2.52, 2 S 2.79
3 Ca 0.6439 0.6439 0.0000  2 O 2.52, 2 S 2.79
4 S 0.1705 0.6705 0.5000  6 Ca 2.73-2.86
5 S 0.8295 0.3295 0.5000  6 Ca 2.73-2.86
6 O 0.5000 0.0000 0.5000  6 Ca 2.52-2.77

# LaGa2As2

A relaxed LaGa2As2 crystal (PBE, Alexandria).

Summary:
V, Å³ per cell: 225.9
Formation energy from the elements, kJ/mol of formula units: -182
E, Ry per atom: -0.3258
Magnetic moment, μB/f.u.: 0.0

Lattice parameters (Å, degrees): 7.7188 7.7188 3.7914 90.00 90.00 90.00
With the nearest neighbours (Å) after each atom.
Positions (direct):
1 La 0.0000 0.0000 0.0000  4 As 3.06
2 La 0.5000 0.5000 0.0000  4 As 3.06
3 Ga 0.1548 0.3452 0.5000  6 As 2.87-3.08
4 Ga 0.3452 0.8452 0.5000  6 As 2.87-3.08
5 Ga 0.6548 0.1548 0.5000  6 As 2.87-3.08
6 Ga 0.8452 0.6548 0.5000  6 As 2.87-3.08
7 As 0.1223 0.6223 0.0000  1 As 2.67, 4 Ga 2.87
8 As 0.3777 0.1223 0.0000  1 As 2.67, 4 Ga 2.87
9 As 0.6223 0.8777 0.0000  1 As 2.67, 4 Ga 2.87
10 As 0.8777 0.3777 0.0000  1 As 2.67, 4 Ga 2.87

# Cs3ZnAg

A relaxed Cs3ZnAg crystal (PBE, Alexandria).

Summary:
V, Å³ per cell: 346.3
Formation energy from the elements, kJ/mol of formula units: 133
E, Ry per atom: -0.0781
Magnetic moment, μB/f.u.: 0.0

Lattice parameters (Å, degrees): 7.0224 7.0224 7.0224 90.00 90.00 90.00
With the nearest neighbours (Å) after each atom.
Positions (direct):
1 Cs 0.0000 0.0000 0.5000  2 Zn 3.51
2 Cs 0.0000 0.5000 0.0000  2 Zn 3.51
3 Cs 0.5000 0.0000 0.0000  2 Zn 3.51
4 Zn 0.0000 0.0000 0.0000  6 Cs 3.51
5 Ag 0.5000 0.5000 0.5000  12 Cs 4.97

# PmErAgRu

A relaxed PmErAgRu crystal (PBE, Alexandria).

Summary:
V, Å³ per cell: 88.7
Energy above the lowest structure with this stoichiometry, meV/atom: 69
Formation energy from the elements, kJ/mol of formula units: -113
E, Ry per atom: -0.4155
Magnetic moment, μB/f.u.: 0.0

Lattice parameters (Å, degrees): 5.0053 5.0053 5.0053 60.00 60.00 60.00
With the nearest neighbours (Å) after each atom.
Positions (direct):
1 Pm 0.0000 0.0000 0.0000  4 Ru 3.07, 4 Ag 3.07
2 Er 0.5000 0.5000 0.5000  4 Ru 3.07, 4 Ag 3.07
3 Ag 0.2500 0.2500 0.2500  4 Er 3.07, 4 Pm 3.07
4 Ru 0.7500 0.7500 0.7500  4 Er 3.07, 4 Pm 3.07